(1)
Computed, not measured: a geometry-optimized CaYOsO6 structure at the PBE-GGA level of DFT.

Results
V in Å³/cell: 256
Calculated total energy in eV per atom: -7.62
Density of states at the Fermi level in states/eV/cell: 8.82
Mass density in g cm⁻³: 5.4
SG: P-31c, No. 163

Cell: 5.5422 5.5422 9.6361 Å, 90.00 90.00 120.00°
Atoms (fractional coordinates):
Ca (0.0000, 0.0000, 0.0000)
Ca (0.0000, 0.0000, 0.5000)
Y (0.3333, 0.6667, 0.2500)
Y (0.6667, 0.3333, 0.7500)
Os (0.3333, 0.6667, 0.7500)
Os (0.6667, 0.3333, 0.2500)
O (0.0478, 0.3825, 0.6383)
O (0.0478, 0.6653, 0.8617)
O (0.3347, 0.3825, 0.8617)
O (0.3347, 0.9522, 0.6383)
O (0.3825, 0.0478, 0.1383)
O (0.3825, 0.3347, 0.3617)
O (0.6175, 0.6653, 0.6383)
O (0.6175, 0.9522, 0.8617)
O (0.6653, 0.0478, 0.3617)
O (0.6653, 0.6175, 0.1383)
O (0.9522, 0.3347, 0.1383)
O (0.9522, 0.6175, 0.3617)

(2)
Computed, not measured: a geometry-optimized Ca2ZnOsO8 structure at the PBE-GGA level of DFT.

Results
V in Å³/cell: 151
Calculated total energy in eV per atom: -6.18
Mass density in g cm⁻³: 5.1
SG: P-1, No. 2

Cell: 4.4807 5.1881 6.5679 Å, 91.12 97.78 90.45°
Atoms (fractional coordinates):
Ca (0.0854, 0.0238, 0.2689)
Ca (0.9146, 0.9762, 0.7311)
Zn (0.5000, 0.5000, 0.0000)
Os (0.5000, 0.5000, 0.5000)
O (0.2429, 0.3019, 0.6252)
O (0.2584, 0.4496, 0.2279)
O (0.2884, 0.7941, 0.5539)
O (0.3741, 0.9067, 0.0026)
O (0.6259, 0.0933, 0.9974)
O (0.7116, 0.2059, 0.4461)
O (0.7416, 0.5504, 0.7721)
O (0.7571, 0.6981, 0.3748)

(3)
Computed, not measured: a geometry-optimized CaZnOsO6 structure at the PBE-GGA level of DFT.

Results
V in Å³/cell: 238
Calculated total energy in eV per atom: -6.38
Mass density in g cm⁻³: 5.5
SG: P-31c, No. 163

Cell: 5.2700 5.2700 9.9148 Å, 90.00 90.00 120.00°
Atoms (fractional coordinates):
Ca (0.0000, 0.0000, 0.0000)
Ca (0.0000, 0.0000, 0.5000)
Zn (0.3333, 0.6667, 0.2500)
Zn (0.6667, 0.3333, 0.7500)
Os (0.3333, 0.6667, 0.7500)
Os (0.6667, 0.3333, 0.2500)
O (0.0311, 0.3835, 0.6422)
O (0.0311, 0.6475, 0.8578)
O (0.3525, 0.3835, 0.8578)
O (0.3525, 0.9689, 0.6422)
O (0.3835, 0.0311, 0.1422)
O (0.3835, 0.3525, 0.3578)
O (0.6165, 0.6475, 0.6422)
O (0.6165, 0.9689, 0.8578)
O (0.6475, 0.0311, 0.3578)
O (0.6475, 0.6165, 0.1422)
O (0.9689, 0.3525, 0.1422)
O (0.9689, 0.6165, 0.3578)

(4)
Computed, not measured: a geometry-optimized CaZn2OsO6 structure at the PBE-GGA level of DFT.

Results
V in Å³/cell: 122
Calculated total energy in eV per atom: -6.06
Density of states at the Fermi level in states/eV/cell: 4.00
Mass density in g cm⁻³: 6.2
SG: R3, No. 146

Cell: 5.7104 5.7104 5.7104 Å, 56.97 56.97 56.97°
Atoms (fractional coordinates):
Ca (0.0000, 0.0000, 0.0000)
Zn (0.2834, 0.2834, 0.2834)
Zn (0.7552, 0.7552, 0.7552)
Os (0.4987, 0.4987, 0.4987)
O (0.1232, 0.4249, 0.6830)
O (0.2732, 0.8684, 0.5678)
O (0.4249, 0.6830, 0.1232)
O (0.5678, 0.2732, 0.8684)
O (0.6830, 0.1232, 0.4249)
O (0.8684, 0.5678, 0.2732)

(5)
Computed, not measured: a geometry-optimized CaPO4 structure at the PBE-GGA level of DFT.

Results
V in Å³/cell: 304
Calculated total energy in eV per atom: -6.92
Density of states at the Fermi level in states/eV/cell: 10.77
Mass density in g cm⁻³: 2.9
SG: P2_1/c, No. 14

Cell: 6.6583 6.9469 8.2289 Å, 90.00 126.90 90.00°
Atoms (fractional coordinates):
Ca (0.1899, 0.1450, 0.2714)
Ca (0.1899, 0.3550, 0.7714)
Ca (0.8101, 0.6450, 0.2286)
Ca (0.8101, 0.8550, 0.7286)
P (0.3021, 0.6534, 0.1995)
P (0.3021, 0.8466, 0.6995)
P (0.6979, 0.1534, 0.3005)
P (0.6979, 0.3466, 0.8005)
O (0.1280, 0.6692, 0.6095)
O (0.1280, 0.8308, 0.1095)
O (0.1835, 0.5006, 0.2541)
O (0.1835, 0.9994, 0.7541)
O (0.3385, 0.5792, 0.0407)
O (0.3385, 0.9208, 0.5407)
O (0.4281, 0.2063, 0.1124)
O (0.4281, 0.2937, 0.6124)
O (0.5719, 0.7063, 0.3876)
O (0.5719, 0.7937, 0.8876)
O (0.6615, 0.0792, 0.4593)
O (0.6615, 0.4208, 0.9593)
O (0.8165, 0.0006, 0.2459)
O (0.8165, 0.4994, 0.7459)
O (0.8720, 0.1692, 0.8905)
O (0.8720, 0.3308, 0.3905)

(6)
Computed, not measured: a geometry-optimized Ca12P3O5 structure at the PBE-GGA level of DFT.

Results
V in Å³/cell: 1801
Calculated total energy in eV per atom: -4.97
Density of states at the Fermi level in states/eV/cell: 32.96
Mass density in g cm⁻³: 2.4
SG: Ia-3d, No. 230

Cell: 13.2750 13.2750 13.2750 Å, 109.47 109.47 109.47°
Atoms (fractional coordinates):
Ca (0.0202, 0.2045, 0.1204)
Ca (0.0202, 0.3157, 0.8998)
Ca (0.0841, 0.7045, 0.6843)
Ca (0.0841, 0.8796, 0.3998)
Ca (0.1002, 0.6204, 0.4159)
Ca (0.1002, 0.9798, 0.6843)
Ca (0.1204, 0.0202, 0.2045)
Ca (0.1204, 0.6002, 0.9159)
Ca (0.1843, 0.2045, 0.5841)
Ca (0.1843, 0.4798, 0.6002)
Ca (0.2045, 0.1204, 0.0202)
Ca (0.2045, 0.5841, 0.1843)
Ca (0.2955, 0.3157, 0.9159)
Ca (0.2955, 0.4798, 0.3796)
Ca (0.3157, 0.8998, 0.0202)
Ca (0.3157, 0.9159, 0.2955)
Ca (0.3796, 0.2955, 0.4798)
Ca (0.3796, 0.5841, 0.8998)
Ca (0.3998, 0.0841, 0.8796)
Ca (0.3998, 0.8157, 0.5202)
Ca (0.4159, 0.1002, 0.6204)
Ca (0.4159, 0.8157, 0.7955)
Ca (0.4798, 0.3796, 0.2955)
Ca (0.4798, 0.6002, 0.1843)
Ca (0.5202, 0.3998, 0.8157)
Ca (0.5202, 0.6204, 0.7045)
Ca (0.5841, 0.1843, 0.2045)
Ca (0.5841, 0.8998, 0.3796)
Ca (0.6002, 0.1843, 0.4798)
Ca (0.6002, 0.9159, 0.1204)
Ca (0.6204, 0.4159, 0.1002)
Ca (0.6204, 0.7045, 0.5202)
Ca (0.6843, 0.0841, 0.7045)
Ca (0.6843, 0.1002, 0.9798)
Ca (0.7045, 0.5202, 0.6204)
Ca (0.7045, 0.6843, 0.0841)
Ca (0.7955, 0.4159, 0.8157)
Ca (0.7955, 0.8796, 0.9798)
Ca (0.8157, 0.5202, 0.3998)
Ca (0.8157, 0.7955, 0.4159)
Ca (0.8796, 0.3998, 0.0841)
Ca (0.8796, 0.9798, 0.7955)
Ca (0.8998, 0.0202, 0.3157)
Ca (0.8998, 0.3796, 0.5841)
Ca (0.9159, 0.1204, 0.6002)
Ca (0.9159, 0.2955, 0.3157)
Ca (0.9798, 0.6843, 0.1002)
Ca (0.9798, 0.7955, 0.8796)
P (0.1250, 0.2500, 0.3750)
P (0.1250, 0.3750, 0.7500)
P (0.2500, 0.3750, 0.1250)
P (0.2500, 0.8750, 0.6250)
P (0.3750, 0.1250, 0.2500)
P (0.3750, 0.7500, 0.1250)
P (0.6250, 0.2500, 0.8750)
P (0.6250, 0.8750, 0.7500)
P (0.7500, 0.1250, 0.3750)
P (0.7500, 0.6250, 0.8750)
P (0.8750, 0.6250, 0.2500)
P (0.8750, 0.7500, 0.6250)
O (0.0000, 0.0000, 0.0000)
O (0.0000, 0.0000, 0.5000)
O (0.0000, 0.5000, 0.0000)
O (0.0000, 0.5000, 0.5000)
O (0.1250, 0.7500, 0.8750)
O (0.1250, 0.8750, 0.2500)
O (0.2500, 0.1250, 0.8750)
O (0.2500, 0.6250, 0.3750)
O (0.3750, 0.2500, 0.6250)
O (0.3750, 0.6250, 0.7500)
O (0.5000, 0.0000, 0.0000)
O (0.5000, 0.0000, 0.5000)
O (0.5000, 0.5000, 0.0000)
O (0.5000, 0.5000, 0.5000)
O (0.6250, 0.3750, 0.2500)
O (0.6250, 0.7500, 0.3750)
O (0.7500, 0.3750, 0.6250)
O (0.7500, 0.8750, 0.1250)
O (0.8750, 0.1250, 0.7500)
O (0.8750, 0.2500, 0.1250)

Which formula does entry 2 have?
Ca2ZnOsO8

The highest V belongs to which entry?
Ca12P3O5

Which of these has the lowest calculated total energy?
CaYOsO6

Among the records above, which one has the highest calculated total energy?
Ca12P3O5